Model A:
Here is a relaxed LiSi2Mo crystal from Alexandria via LeMat-Bulk. Energies are from PBE.

Calculated values
The total moment is 0.0 μB/f.u. The value obtained for the volume is 13.63 A^3/atom.

Cell: 5.359 7.688 2.647 Å, 90.00 90.56 90.00°
Space group C2/m (No. 12)
Inequivalent atoms, fractional coordinates:
Li: 0.000 0.000 0.000
Si: 0.250 0.250 0.500
Mo: 0.000 0.500 0.000

Model B:
Here is a relaxed LiSi2Mo crystal from Alexandria via LeMat-Bulk. Energies are from PBE.

Calculated values
The total moment is 0.0 μB/f.u. The value obtained for the volume is 13.27 A^3/atom.

Cell: 3.537 3.645 8.235 Å, 90.00 90.00 90.00°
Space group Imm2 (No. 44)
Inequivalent atoms, fractional coordinates:
Li: 0.000 0.000 0.000
Si: 0.000 0.000 0.500
Si: 0.000 0.500 0.247
Mo: 0.000 0.500 0.752

Stability, highest: model B

Model A:
Here is a relaxed LiSi2Mo crystal from Alexandria via LeMat-Bulk. Energies are from PBE.

Calculated values
The total moment is 0.0 μB/f.u. The value obtained for the volume is 13.54 A^3/atom.

Cell: 4.119 4.119 3.193 Å, 90.00 90.00 90.00°
Space group P4/mmm (No. 123)
Inequivalent atoms, fractional coordinates:
Li: 0.000 0.000 0.000
Si: 0.000 0.500 0.500
Mo: 0.500 0.500 0.000

Model B:
Here is a relaxed LiSi2Mo crystal from Alexandria via LeMat-Bulk. Energies are from PBE.

Calculated values
The total moment is 0.0 μB/f.u. The value obtained for the volume is 13.68 A^3/atom.

Cell: 2.631 4.508 4.612 Å, 90.00 90.00 90.00°
Space group Pmm2 (No. 25)
Inequivalent atoms, fractional coordinates:
Li: 0.000 0.000 0.000
Si: 0.500 0.000 0.488
Si: 0.500 0.500 0.160
Mo: 0.000 0.500 0.667

Stability, highest: model B